A plane-wave DFT calculation with SCAN was carried out for a crystal of Co2CuS4 relaxed with PBEsol.

Cell: 6.592 6.592 6.592 Å, 60.00 60.00 60.00°
Positions (direct):
S  0.862  0.862  0.413
S  0.388  0.837  0.388
S  0.837  0.388  0.388
S  0.388  0.388  0.837
S  0.862  0.413  0.862
S  0.413  0.862  0.862
S  0.862  0.862  0.862
S  0.388  0.388  0.388
Cu  0.000  0.000  0.000
Cu  0.250  0.250  0.250
Co  0.125  0.625  0.625
Co  0.625  0.125  0.625
Co  0.625  0.625  0.125
Co  0.625  0.625  0.625

Summary:
E_form (uncorrected) = -0.54 eV/atom
symmetry = Fd-3m, No. 227

***

A plane-wave DFT calculation with SCAN was carried out for a crystal of CoCu2Sn3S8 relaxed with PBEsol.

Cell: 7.196 7.196 7.196 Å, 60.11 60.11 60.11°
Positions (direct):
S  0.771  0.771  0.231
S  0.253  0.253  0.253
S  0.229  0.229  0.769
S  0.771  0.231  0.771
S  0.769  0.229  0.229
S  0.747  0.747  0.747
S  0.229  0.769  0.229
S  0.231  0.771  0.771
Cu  0.618  0.618  0.618
Cu  0.382  0.382  0.382
Sn  0.000  0.500  0.000
Sn  0.000  0.000  0.500
Sn  0.500  0.000  0.000
Co  0.000  0.000  0.000

Summary:
E_form (uncorrected) = -0.43 eV/atom
symmetry = R-3m, No. 166

***

A plane-wave DFT calculation with SCAN was carried out for a crystal of CoCuSb relaxed with PBEsol.

Cell: 3.285 3.323 4.520 Å, 111.56 111.28 90.02°
Positions (direct):
Cu  0.662  0.662  0.324
Co  0.000  0.000  0.000
Sb  0.337  0.338  0.675

Summary:
E_form (uncorrected) = 0.22 eV/atom
symmetry = Imm2, No. 44

***

A plane-wave DFT calculation with SCAN was carried out for a crystal of ScCo2Cu relaxed with PBEsol.

Cell: 2.652 2.652 8.601 Å, 81.13 81.13 60.00°
Positions (direct):
Co  0.747  0.747  0.760
Co  0.008  0.008  0.976
Sc  0.252  0.252  0.243
Cu  0.493  0.493  0.521

Summary:
formation enthalpy at 0 K = 0.338 eV per atom
symmetry = R3m, No. 160

***

A plane-wave DFT calculation with SCAN was carried out for a crystal of ScCoCu relaxed with PBEsol.

Cell: 4.046 4.046 4.046 Å, 60.00 60.00 60.00°
Positions (direct):
Sc  0.500  0.500  0.500
Cu  0.000  0.000  0.000
Co  0.250  0.250  0.250

Summary:
formation enthalpy at 0 K = 0.264 eV per atom
symmetry = F-43m, No. 216

***

A plane-wave DFT calculation with SCAN was carried out for a crystal of ScCoCu2 relaxed with PBEsol.

Cell: 3.557 3.557 4.747 Å, 112.00 112.00 90.00°
Positions (direct):
Sc  0.000  0.000  0.000
Cu  0.750  0.250  0.500
Cu  0.250  0.750  0.500
Co  0.500  0.500  0.000

Summary:
formation enthalpy at 0 K = -0.086 eV per atom
symmetry = I4/mmm, No. 139

***

A plane-wave DFT calculation with SCAN was carried out for a crystal of ScCoCu2 relaxed with PBEsol.

Cell: 3.600 3.600 3.941 Å, 90.00 90.00 90.00°
Positions (direct):
Cu  0.000  0.500  0.000
Cu  0.500  0.000  0.000
Co  0.000  0.000  0.500
Sc  0.500  0.500  0.500

Summary:
formation enthalpy at 0 K = -0.088 eV per atom
symmetry = P4/mmm, No. 123

***

A plane-wave DFT calculation with SCAN was carried out for a crystal of ScCo2Cu2 relaxed with PBEsol.

Cell: 3.444 3.444 6.151 Å, 106.26 106.26 90.00°
Positions (direct):
Co  0.250  0.750  0.500
Co  0.750  0.250  0.500
Sc  0.000  0.000  0.000
Cu  0.603  0.603  0.206
Cu  0.397  0.397  0.794

Summary:
formation enthalpy at 0 K = 0.020 eV per atom
symmetry = I4/mmm, No. 139

***

A plane-wave DFT calculation with SCAN was carried out for a crystal of ScCoCu2 relaxed with PBEsol.

Cell: 2.742 4.105 4.829 Å, 90.00 105.63 90.00°
Positions (direct):
Cu  0.098  0.000  0.274
Cu  0.902  0.000  0.726
Co  0.500  0.500  0.500
Sc  0.500  0.500  0.000

Summary:
formation enthalpy at 0 K = 0.038 eV per atom
symmetry = P2/m, No. 10

***

A plane-wave DFT calculation with SCAN was carried out for a crystal of Sc2CoCu relaxed with PBEsol.

Cell: 2.964 4.517 5.090 Å, 105.02 106.93 90.00°
Positions (direct):
Sc  0.225  0.681  0.449
Sc  0.016  0.050  0.033
Cu  0.778  0.230  0.556
Co  0.481  0.539  0.963

Summary:
formation enthalpy at 0 K = -0.114 eV per atom
symmetry = Cm, No. 8

***

A plane-wave DFT calculation with SCAN was carried out for a crystal of Sc2CoCu relaxed with PBEsol.

Cell: 3.132 4.445 4.445 Å, 90.00 90.00 90.00°
Positions (direct):
Sc  0.000  0.000  0.500
Sc  0.000  0.500  0.000
Co  0.500  0.500  0.500
Cu  0.500  0.000  0.000

Summary:
formation enthalpy at 0 K = -0.344 eV per atom
symmetry = P4/mmm, No. 123

***

A plane-wave DFT calculation with SCAN was carried out for a crystal of ScCo4Cu relaxed with PBEsol.

Cell: 4.689 4.689 4.689 Å, 60.00 60.00 60.00°
Positions (direct):
Co  0.376  0.376  0.376
Co  0.873  0.376  0.376
Co  0.376  0.873  0.376
Co  0.376  0.376  0.873
Cu  0.750  0.750  0.750
Sc  0.000  0.000  0.000

Summary:
formation enthalpy at 0 K = -0.080 eV per atom
symmetry = F-43m, No. 216

***

A plane-wave DFT calculation with SCAN was carried out for a crystal of Sc2CoCu relaxed with PBEsol.

Cell: 3.776 3.776 5.091 Å, 111.76 111.76 90.00°
Positions (direct):
Sc  0.000  0.000  0.000
Sc  0.750  0.250  0.500
Co  0.500  0.500  0.000
Cu  0.250  0.750  0.500

Summary:
formation enthalpy at 0 K = -0.048 eV per atom
symmetry = I-4m2, No. 119

***

A plane-wave DFT calculation with SCAN was carried out for a crystal of Sc2CoCu relaxed with PBEsol.

Cell: 4.441 4.441 4.441 Å, 60.00 60.00 60.00°
Positions (direct):
Sc  0.250  0.250  0.250
Sc  0.750  0.750  0.750
Cu  0.000  0.000  0.000
Co  0.500  0.500  0.500

Summary:
formation enthalpy at 0 K = -0.326 eV per atom
symmetry = Fm-3m, No. 225

***

A plane-wave DFT calculation with SCAN was carried out for a crystal of ScTl2CoCu relaxed with PBEsol.

Cell: 4.500 4.821 4.821 Å, 90.00 90.00 90.00°
Positions (direct):
Cu  0.500  0.000  0.000
Sc  0.500  0.500  0.500
Co  0.000  0.000  0.000
Tl  0.000  0.500  0.000
Tl  0.000  0.000  0.500

Summary:
formation enthalpy at 0 K = 0.422 eV per atom
symmetry = P4/mmm, No. 123